1.
An optimized crystal structure of Pm8DySb6, computed with PBE.

```
data_Pm8DySb6
_cell_length_a 8.140
_cell_length_b 8.140
_cell_length_c 9.778
_cell_angle_alpha 65.40
_cell_angle_beta 65.40
_cell_angle_gamma 60.00
_symmetry_space_group_name_H-M 'P 1'
_symmetry_Int_Tables_number 1
loop_
_symmetry_equiv_pos_as_xyz
'x,y,z'
loop_
_atom_site_label
_atom_site_fract_x
_atom_site_fract_y
_atom_site_fract_z
Sb1 0.262 0.606 0.199
Sb2 0.933 0.262 0.199
Sb3 0.394 0.067 0.801
Pm1 0.541 0.215 0.364
Dy1 0.000 0.000 0.000
Pm2 0.785 0.120 0.636
Sb4 0.738 0.394 0.801
Pm3 0.880 0.541 0.364
Sb5 0.067 0.738 0.801
Pm4 0.667 0.667 0.000
Pm5 0.333 0.333 0.000
Pm6 0.120 0.459 0.636
Sb6 0.606 0.933 0.199
Pm7 0.459 0.785 0.636
Pm8 0.215 0.880 0.364
```

* energy: -5.300 eV per atom
* calculated volume: 492.0 Å³ per cell
* theoretical density: 6.93 Mg/m³
* total moment: 0.0 μB/cell
* formation energy (no corrections): -78.2 kJ per mole of atoms
* DOS(E_F): 15.3 states/eV/f.u.


2.
An optimized crystal structure of TmThMn, computed with PBE.

```
data_TmThMn
_cell_length_a 6.157
_cell_length_b 6.163
_cell_length_c 5.930
_cell_angle_alpha 88.57
_cell_angle_beta 108.45
_cell_angle_gamma 136.05
_symmetry_space_group_name_H-M 'P 1'
_symmetry_Int_Tables_number 1
loop_
_symmetry_equiv_pos_as_xyz
'x,y,z'
loop_
_atom_site_label
_atom_site_fract_x
_atom_site_fract_y
_atom_site_fract_z
Mn1 0.485 0.376 0.862
Tm1 0.892 0.314 0.206
Th1 0.250 0.081 0.331
Tm2 0.108 0.686 0.794
Mn2 0.515 0.624 0.138
Th2 0.750 0.919 0.669
```

* energy: -6.905 eV per atom
* ΔE_f: 115 meV per atom
* energy above the most stable polymorph in this dataset: 0.0 meV per atom
* calculated volume: 141.0 Å³ per cell
* theoretical density: 10.74 Mg/m³
* total moment: 0.0 μB/cell
* DOS(E_F): 3.7 states/eV/f.u.